# 1
Density functional theory data (SCAN) for a PBEsol-optimized structure of Tl2AsP.

POSCAR file:
```
Tl2AsP
1.0
3.454 0.000 0.000
-1.727 2.991 0.000
0.000 0.000 27.623
Tl As P
6 3 3
Cartesian
0.000 0.000 0.000
0.000 0.000 6.429
0.000 1.994 18.415
0.000 1.994 24.844
1.727 0.997 9.207
1.727 0.997 15.636
0.000 0.000 21.064
0.000 1.994 11.857
1.727 0.997 2.649
0.000 0.000 13.199
0.000 1.994 3.991
1.727 0.997 22.406
```

Output
- distance to the lowest polymorph of the same formula (kJ/mol of atoms) = 0.00
- M_tot (μB per cell) = 0.003
- ΔE_f (eV per atom) = 0.070



# 2
Density functional theory data (SCAN) for a PBEsol-optimized structure of TlAs2P.

POSCAR file:
```
TlAs2P
1.0
3.712 0.000 0.000
0.000 4.923 0.000
0.000 0.000 9.030
Tl As P
2 4 2
Cartesian
0.000 0.000 0.000
1.856 2.461 0.000
0.000 0.000 4.787
0.000 2.461 2.536
1.856 0.000 2.536
1.856 2.461 4.787
0.000 2.461 6.381
1.856 0.000 6.381
```

Output
- distance to the lowest polymorph of the same formula (kJ/mol of atoms) = 26.37
- M_tot (μB per cell) = 0.000
- ΔE_f (eV per atom) = 0.507



# 3
Density functional theory data (SCAN) for a PBEsol-optimized structure of Tl2AsP.

POSCAR file:
```
Tl2AsP
1.0
6.110 0.000 0.000
0.000 6.110 0.000
0.000 0.000 12.207
Tl As P
8 4 4
Cartesian
1.456 1.527 1.526
1.527 4.511 4.577
1.527 4.654 10.681
1.599 1.527 7.629
4.511 4.582 7.629
4.582 1.456 10.681
4.582 1.599 4.577
4.654 4.582 1.526
0.000 0.000 6.103
0.000 3.055 9.155
3.055 0.000 3.052
3.055 3.055 0.000
0.000 0.000 0.000
0.000 3.055 3.052
3.055 0.000 9.155
3.055 3.055 6.103
```

Output
- distance to the lowest polymorph of the same formula (kJ/mol of atoms) = 7.11
- M_tot (μB per cell) = 0.000
- ΔE_f (eV per atom) = 0.144



# 4
Density functional theory data (SCAN) for a PBEsol-optimized structure of Tl2AsP.

POSCAR file:
```
Tl2AsP
1.0
4.845 0.000 0.000
0.000 3.446 0.000
-1.679 0.000 6.019
Tl As P
2 1 1
Cartesian
0.000 0.000 0.000
0.739 1.723 3.787
2.495 1.723 1.225
3.167 0.000 2.703
```

Output
- distance to the lowest polymorph of the same formula (kJ/mol of atoms) = 0.29
- M_tot (μB per cell) = 0.000
- ΔE_f (eV per atom) = 0.073



# 5
Density functional theory data (SCAN) for a PBEsol-optimized structure of TlAsP2.

POSCAR file:
```
TlAsP2
1.0
3.727 0.000 0.000
-1.864 3.228 0.000
0.000 0.000 19.387
Tl As P
3 3 6
Cartesian
0.000 0.000 0.000
0.000 2.152 12.925
1.864 1.076 6.462
0.000 0.000 9.694
0.000 2.152 3.231
1.864 1.076 16.156
0.000 0.000 4.635
0.000 0.000 14.753
0.000 2.152 8.290
0.000 2.152 17.560
1.864 1.076 1.828
1.864 1.076 11.097
```

Output
- distance to the lowest polymorph of the same formula (kJ/mol of atoms) = 0.00
- M_tot (μB per cell) = 0.000
- ΔE_f (eV per atom) = 0.292



# 6
Density functional theory data (SCAN) for a PBEsol-optimized structure of TlAs2P.

POSCAR file:
```
TlAs2P
1.0
3.420 0.000 0.000
-1.710 2.962 0.000
0.000 0.000 25.156
Tl As P
3 6 3
Cartesian
0.000 0.000 0.000
0.000 1.974 16.771
1.710 0.987 8.385
0.000 0.000 5.727
0.000 0.000 19.430
0.000 1.974 11.044
0.000 1.974 22.497
1.710 0.987 2.659
1.710 0.987 14.112
0.000 0.000 12.578
0.000 1.974 4.193
1.710 0.987 20.964
```

Output
- distance to the lowest polymorph of the same formula (kJ/mol of atoms) = 0.25
- M_tot (μB per cell) = 0.000
- ΔE_f (eV per atom) = 0.236



# 7
Density functional theory data (SCAN) for a PBEsol-optimized structure of Tl2AsP.

POSCAR file:
```
Tl2AsP
1.0
3.175 0.000 0.000
-1.588 2.750 0.000
0.000 0.000 31.050
Tl As P
6 3 3
Cartesian
0.000 0.000 7.668
0.000 0.000 23.382
0.000 1.833 13.032
0.000 1.833 28.368
1.588 0.917 2.682
1.588 0.917 18.018
0.000 0.000 0.000
0.000 1.833 20.700
1.588 0.917 10.350
0.000 0.000 15.525
0.000 1.833 5.175
1.588 0.917 25.875
```

Output
- distance to the lowest polymorph of the same formula (kJ/mol of atoms) = 50.96
- M_tot (μB per cell) = 0.000
- ΔE_f (eV per atom) = 0.598



# 8
Density functional theory data (SCAN) for a PBEsol-optimized structure of TlAs2P.

POSCAR file:
```
TlAs2P
1.0
4.707 0.000 0.000
0.000 4.707 0.000
0.000 0.000 3.576
Tl As P
1 2 1
Cartesian
0.000 0.000 0.000
0.000 2.354 1.788
2.354 0.000 1.788
2.354 2.354 0.000
```

Output
- distance to the lowest polymorph of the same formula (kJ/mol of atoms) = 41.98
- M_tot (μB per cell) = 0.000
- ΔE_f (eV per atom) = 0.669



# 9
Density functional theory data (SCAN) for a PBEsol-optimized structure of Tl2AsP.

POSCAR file:
```
Tl2AsP
1.0
3.123 0.000 0.000
0.000 4.628 0.000
0.000 0.000 6.277
Tl As P
2 1 1
Cartesian
0.000 0.000 1.544
0.000 0.000 4.733
1.562 2.314 3.139
1.562 2.314 0.000
```

Output
- distance to the lowest polymorph of the same formula (kJ/mol of atoms) = 42.98
- M_tot (μB per cell) = 0.000
- ΔE_f (eV per atom) = 0.515



# 10
Density functional theory data (SCAN) for a PBEsol-optimized structure of TlAsP2.

POSCAR file:
```
TlAsP2
1.0
4.725 0.000 0.000
0.000 4.725 0.000
0.000 0.000 6.633
Tl As P
2 2 4
Cartesian
0.000 0.000 0.000
2.362 2.362 3.316
0.000 0.000 3.316
2.362 2.362 0.000
0.000 2.362 1.658
0.000 2.362 4.975
2.362 0.000 1.658
2.362 0.000 4.975
```

Output
- distance to the lowest polymorph of the same formula (kJ/mol of atoms) = 46.35
- M_tot (μB per cell) = 0.000
- ΔE_f (eV per atom) = 0.772



# 11
Density functional theory data (SCAN) for a PBEsol-optimized structure of TlAs2P.

POSCAR file:
```
TlAs2P
1.0
9.891 0.000 0.000
0.000 3.368 0.000
-2.115 0.000 5.362
Tl As P
2 4 2
Cartesian
0.000 0.000 0.000
4.945 1.684 0.000
0.651 0.000 3.362
2.180 1.684 2.000
5.596 1.684 3.362
7.125 0.000 2.000
-1.057 1.684 2.681
3.888 0.000 2.681
```

Output
- distance to the lowest polymorph of the same formula (kJ/mol of atoms) = 0.00
- M_tot (μB per cell) = 0.000
- ΔE_f (eV per atom) = 0.234



# 12
Density functional theory data (SCAN) for a PBEsol-optimized structure of Tl2AsP.

POSCAR file:
```
Tl2AsP
1.0
11.642 0.000 0.000
0.000 3.436 0.000
-2.515 0.000 4.794
Tl As P
4 2 2
Cartesian
0.000 0.000 0.000
0.639 0.000 3.385
5.821 1.718 0.000
6.460 1.718 3.385
3.847 0.000 2.019
9.668 1.718 2.019
2.431 1.718 1.268
8.252 0.000 1.268
```

Output
- distance to the lowest polymorph of the same formula (kJ/mol of atoms) = 1.83
- M_tot (μB per cell) = 0.001
- ΔE_f (eV per atom) = 0.089



# 13
Density functional theory data (SCAN) for a PBEsol-optimized structure of ZrTlAsP2.

POSCAR file:
```
ZrTlAsP2
1.0
4.671 0.000 0.000
0.000 4.671 0.000
0.000 0.000 5.064
Zr Tl As P
1 1 1 2
Cartesian
0.000 0.000 0.000
2.336 2.336 0.000
2.336 2.336 2.532
0.000 2.336 2.532
2.336 0.000 2.532
```

Output
- M_tot (μB per cell) = 0.000
- ΔE_f (eV per atom) = 0.830



# 14
Density functional theory data (SCAN) for a PBEsol-optimized structure of UAsP.

POSCAR file:
```
UAsP
1.0
3.810 0.000 0.000
0.000 3.810 0.000
0.000 0.000 7.779
U As P
2 2 2
Cartesian
0.953 0.953 1.594
2.858 2.858 6.185
0.953 2.858 3.889
2.858 0.953 3.889
0.953 0.953 6.650
2.858 2.858 1.129
```

Output
- M_tot (μB per cell) = 2.947
- ΔE_f (eV per atom) = -0.730



# 15
Density functional theory data (SCAN) for a PBEsol-optimized structure of As3PW.

POSCAR file:
```
As3PW
1.0
4.550 0.000 0.000
0.000 4.550 0.000
0.000 0.000 4.550
As P W
3 1 1
Cartesian
0.000 0.000 2.275
0.000 2.275 0.000
2.275 0.000 0.000
0.000 0.000 0.000
2.275 2.275 2.275
```

Output
- M_tot (μB per cell) = 2.468
- ΔE_f (eV per atom) = 1.373